1.
## NaSrCu (PBE-GGA)

Data for an optimized crystal structure of NaSrCu.

density	3.18	g/cm³
DFT formation energy	0.147	eV per atom
size of the total moment	0.00	μB/atom
energy relative to the lowest polymorph listed for this composition	0.1948	eV per atom
symmetry	I4mm, No. 107
Fermi-level density of states	0.590	states/eV/atom
DFT total energy	-6.66	eV per cell

The structure in extended XYZ format:
```
3
Lattice="-1.226 -3.459 1.137 1.443 0.640 3.503 -5.463 3.884 -0.567" Properties=species:S:1:pos:R:3 pbc="T T T"
Cu -1.685 -0.581 2.908
Na -3.244 1.499 1.062
Sr -0.317 0.146 0.104
```

***

2.
## NaSr2Cu (PBE-GGA)

Data for an optimized crystal structure of NaSr2Cu.

density	3.19	g/cm³
DFT formation energy	0.118	eV per atom
size of the total moment	0.00	μB/atom
energy relative to the lowest polymorph listed for this composition	0.1421	eV per atom
symmetry	Fm-3m, No. 225
Fermi-level density of states	1.246	states/eV/atom
DFT total energy	-8.31	eV per cell

The structure in extended XYZ format:
```
4
Lattice="0.000 4.083 4.083 4.083 0.000 4.083 4.083 4.083 0.000" Properties=species:S:1:pos:R:3 pbc="T T T"
Na 0.000 0.000 0.000
Cu 4.083 4.083 4.083
Sr 2.041 2.041 2.041
Sr 6.124 6.124 6.124
```

***

3.
## NaSr2Cu2 (PBE-GGA)

Data for an optimized crystal structure of NaSr2Cu2.

density	3.54	g/cm³
DFT formation energy	0.137	eV per atom
size of the total moment	0.00	μB/atom
energy relative to the lowest polymorph listed for this composition	0.1950	eV per atom
symmetry	I4/mmm, No. 139
Fermi-level density of states	0.533	states/eV/atom
DFT total energy	-12.19	eV per cell

The structure in extended XYZ format:
```
5
Lattice="-2.468 -2.158 -1.717 -1.410 -0.993 3.274 -9.078 6.973 0.296" Properties=species:S:1:pos:R:3 pbc="T T T"
Sr -9.069 3.066 1.206
Cu -6.213 2.203 2.174
Sr -3.887 0.757 0.647
Cu -6.742 1.620 -0.321
Na 0.000 0.000 0.000
```

***

4.
## Na2Sr4Cu (PBE-GGA)

Data for an optimized crystal structure of Na2Sr4Cu.

density	2.37	g/cm³
DFT formation energy	0.035	eV per atom
size of the total moment	0.00	μB/atom
energy relative to the lowest polymorph listed for this composition	0.0000	eV per atom
symmetry	P2/m, No. 10
Fermi-level density of states	0.767	states/eV/atom
DFT total energy	-13.22	eV per cell

The structure in extended XYZ format:
```
7
Lattice="-2.561 3.218 -1.274 0.312 -2.520 -6.995 -8.186 -4.719 4.533" Properties=species:S:1:pos:R:3 pbc="T T T"
Sr -1.632 -1.778 -1.213
Sr -2.239 -1.053 -5.438
Sr -6.288 -5.102 -0.249
Na -5.322 -1.203 0.385
Cu 0.289 -2.340 -6.495
Sr -8.241 -2.608 2.702
Na -5.157 -2.459 -3.121
```

***

5.
## Na2Sr4Cu (PBE-GGA)

Data for an optimized crystal structure of Na2Sr4Cu.

density	2.29	g/cm³
DFT formation energy	0.069	eV per atom
size of the total moment	0.00	μB/atom
energy relative to the lowest polymorph listed for this composition	0.0340	eV per atom
symmetry	I4/mmm, No. 139
Fermi-level density of states	0.843	states/eV/atom
DFT total energy	-12.98	eV per cell

The structure in extended XYZ format:
```
7
Lattice="5.918 0.000 0.000 0.000 5.918 0.000 2.959 2.959 9.518" Properties=species:S:1:pos:R:3 pbc="T T T"
Cu 0.000 0.000 0.000
Sr 0.000 2.959 0.000
Sr 2.959 2.959 6.377
Sr 2.959 0.000 0.000
Na 5.918 5.918 6.956
Na 2.959 2.959 2.561
Sr 5.918 5.918 3.141
```

***

6.
## NaSr2Cu (PBE-GGA)

Data for an optimized crystal structure of NaSr2Cu.

density	2.72	g/cm³
DFT formation energy	0.193	eV per atom
size of the total moment	0.00	μB/atom
energy relative to the lowest polymorph listed for this composition	0.2166	eV per atom
symmetry	I-42d, No. 122
Fermi-level density of states	0.621	states/eV/atom
DFT total energy	-16.01	eV per cell

The structure in extended XYZ format:
```
8
Lattice="-2.767 -4.661 7.318 -0.931 -7.477 -5.115 1.802 -7.044 1.862" Properties=species:S:1:pos:R:3 pbc="T T T"
Sr -1.944 -16.388 2.993
Cu 0.000 0.000 0.000
Na -0.489 -10.295 -1.076
Cu -1.407 -8.887 5.141
Sr -1.574 -5.910 4.873
Na -1.849 -6.069 1.102
Sr 0.025 -9.352 2.553
Sr -0.298 -6.716 -2.289
```